# 1
VASP calculation (PBE) on a relaxed structure of LiAc3.

The structure in extended XYZ format:
```
4
Lattice="3.865 0.000 0.000 0.000 3.799 0.000 0.000 0.000 11.321" Properties=species:S:1:pos:R:3 pbc="T T T"
Ac 0.000 1.899 5.314
Ac 1.932 0.000 8.139
Ac 1.932 1.899 1.975
Li 0.000 0.000 10.988
```

ΔH_f (0 K): 97 kJ/mol of formula units

***

# 2
VASP calculation (PBE) on a relaxed structure of Li2Ac.

The structure in extended XYZ format:
```
3
Lattice="-3.742 -0.008 -0.835 -0.171 -3.745 0.803 0.699 3.140 5.640" Properties=species:S:1:pos:R:3 pbc="T T T"
Li -0.760 0.763 3.397
Li -2.455 -1.376 2.211
Ac 0.000 0.000 0.000
```

ΔH_f (0 K): 28 kJ/mol of formula units

***

# 3
VASP calculation (PBE) on a relaxed structure of LiAc3.

The structure in extended XYZ format:
```
4
Lattice="-3.090 -1.915 -1.903 -1.784 -2.511 5.424 -1.222 7.075 -0.713" Properties=species:S:1:pos:R:3 pbc="T T T"
Ac -3.041 1.437 -0.933
Ac -2.288 -2.004 1.308
Ac -2.757 1.630 2.836
Li -1.636 -2.303 4.974
```

ΔH_f (0 K): 26 kJ/mol of formula units

***

# 4
VASP calculation (PBE) on a relaxed structure of Li3Ac.

The structure in extended XYZ format:
```
4
Lattice="4.768 0.000 0.000 0.000 4.768 0.000 -2.384 -2.384 4.885" Properties=species:S:1:pos:R:3 pbc="T T T"
Ac 0.000 0.000 0.000
Li 2.384 2.384 0.000
Li 0.000 2.384 2.443
Li 2.384 0.000 2.443
```

ΔH_f (0 K): 70 kJ/mol of formula units